A relaxed structure of MnCoPdF6. Source: Alexandria, functional PBE+U.

Cell lengths 5.4697, 5.4697, 9.2024 Å; angles 90.00, 90.00, 120.00 degrees
With the nearest neighbours (Å) after each atom.
Fractional coordinates of all 18 atoms:
Mn1 0.3333 0.6667 0.2500  6 F 2.14
Mn2 0.6667 0.3333 0.7500  6 F 2.14
Co1 0.3333 0.6667 0.7500  6 F 2.06
Co2 0.6667 0.3333 0.2500  6 F 2.06
Pd1 0.0000 0.0000 0.0000  6 F 2.24
Pd2 0.0000 0.0000 0.5000  6 F 2.24
F1 0.0122 0.3504 0.6313  1 Co 2.06, 1 Mn 2.14, 1 Pd 2.24
F2 0.0122 0.6618 0.8687  1 Co 2.06, 1 Mn 2.14, 1 Pd 2.24
F3 0.3382 0.3504 0.8687  1 Co 2.06, 1 Mn 2.14, 1 Pd 2.24
F4 0.3382 0.9878 0.6313  1 Co 2.06, 1 Mn 2.14, 1 Pd 2.24
F5 0.3504 0.0122 0.1313  1 Co 2.06, 1 Mn 2.14, 1 Pd 2.24
F6 0.3504 0.3382 0.3687  1 Co 2.06, 1 Mn 2.14, 1 Pd 2.24
F7 0.6496 0.6618 0.6313  1 Co 2.06, 1 Mn 2.14, 1 Pd 2.24
F8 0.6496 0.9878 0.8687  1 Co 2.06, 1 Mn 2.14, 1 Pd 2.24
F9 0.6618 0.0122 0.3687  1 Co 2.06, 1 Mn 2.14, 1 Pd 2.24
F10 0.6618 0.6496 0.1313  1 Co 2.06, 1 Mn 2.14, 1 Pd 2.24
F11 0.9878 0.3382 0.1313  1 Co 2.06, 1 Mn 2.14, 1 Pd 2.24
F12 0.9878 0.6496 0.3687  1 Co 2.06, 1 Mn 2.14, 1 Pd 2.24

Values from the calculation:
magnetic moment	20.000	μB per cell
symmetry	P-31c
DFT total energy	-92.734	eV per cell